Crystalline KSnTeO5 at its relaxed geometry, computed with PBE.

The calculation puts the magnetization at 0.000 μB per formula unit. The calculation puts the total energy at -5.40 eV per atom. The raw formation energy comes out at -1.270 eV/atom. The crystal system is monoclinic.

It has space group C2/c (No. 15), with a = 7.456 Å, b = 10.022 Å, c = 7.647 Å, α = 90.00°, β = 113.29° and γ = 90.00°. The inequivalent atoms are K at (0.000, 0.172, 0.250), Sn at (0.000, 0.500, 0.000), Te at (0.000, 0.187, 0.750), O at (0.000, 0.436, 0.250), O at (0.099, 0.301, 0.605) and O at (0.199, 0.071, 0.923).